Entry 1:
The following is a GGA-PBE calculation of a geometry-optimized KPaHg2I6 structure, from the Alexandria database.

Space-group type: P2_1/c, No. 14
Energy relative to the elements, uncorrected (eV/f.u.): -8.30
Energy (eV/atom): -2.880

abc: 8.257 9.894 12.443
angles: 90.00 75.54 90.00
Positions (direct):
K (0.500, 0.000, 0.000)
K (0.000, 0.500, 0.500)
Pa (0.500, 0.000, 0.500)
Pa (0.000, 0.500, 0.000)
Hg (0.117, 0.920, 0.233)
Hg (0.617, 0.580, 0.733)
Hg (0.883, 0.080, 0.767)
Hg (0.383, 0.420, 0.267)
I (0.308, 0.644, 0.012)
I (0.808, 0.856, 0.512)
I (0.692, 0.356, 0.988)
I (0.192, 0.144, 0.488)
I (0.349, 0.742, 0.455)
I (0.849, 0.758, 0.955)
I (0.651, 0.258, 0.545)
I (0.151, 0.242, 0.045)
I (0.861, 0.542, 0.241)
I (0.361, 0.958, 0.741)
I (0.139, 0.458, 0.759)
I (0.639, 0.042, 0.259)


Entry 2:
The following is a GGA-PBE calculation of a geometry-optimized Li2SbPb structure, from the Alexandria database.

Space-group type: P2/m, No. 10
Energy relative to the elements, uncorrected (eV/f.u.): -1.40
E above lowest polymorph (kJ/mol of formula units): 7
Energy (eV/atom): -3.264

abc: 4.105 3.364 7.373
angles: 62.20 90.00 90.00
Positions (direct):
Pb (0.500, 0.250, 0.250)
Sb (0.500, 0.750, 0.750)
Li (0.000, 0.027, 0.972)
Li (0.000, 0.473, 0.528)